Record 1
A relaxed Ac2LaRuO8 crystal, computed with PBE.

Cell: 4.5266 5.6020 7.4009 Å, 90.00 90.00 96.52°
Sites, in units of the cell vectors:
Ac: 0.5000 0.5000 0.7591
Ac: 0.5000 0.5000 0.2409
La: 0.0000 0.0000 0.5000
Ru: 0.0000 0.0000 0.0000
O: 0.0708 0.7737 0.2007
O: 0.6205 0.8461 0.0000
O: 0.9292 0.2263 0.2007
O: 0.9292 0.2263 0.7993
O: 0.3795 0.1539 0.0000
O: 0.0708 0.7737 0.7993
O: 0.5522 0.7490 0.5000
O: 0.4478 0.2510 0.5000

Results
ΔE_f (raw) in eV per atom: -2.29
SG: P2/m (10)
DOS(E_F) in states/eV per cell: 3.05

Record 2
A relaxed TbSm2HoTm4 crystal, computed with PBE.

Cell: 5.0172 5.0079 11.1307 Å, 63.28 90.00 90.00°
Sites, in units of the cell vectors:
Tb: 0.5000 0.5000 0.0000
Sm: 0.0000 0.0000 0.0000
Sm: 0.5000 0.0000 0.5000
Ho: 0.0000 0.5000 0.5000
Tm: 0.0000 0.7504 0.7494
Tm: 0.0000 0.2496 0.2506
Tm: 0.5000 0.7497 0.2505
Tm: 0.5000 0.2503 0.7495

Results
SG: P4/mmm (123)
DOS(E_F) in states/eV per cell: 11.34
Uncorrected energy in eV/cell: -36.35

Record 3
A relaxed HoHfH2 crystal, computed with PBE.

Cell: 3.3182 3.3182 5.8157 Å, 73.42 73.42 60.00°
Sites, in units of the cell vectors:
H: 0.7309 0.7309 0.8072
H: 0.2691 0.2691 0.1928
Hf: 0.0000 0.0000 0.0000
Ho: 0.5000 0.5000 0.5000

Results
SG: R-3m (166)
DOS(E_F) in states/eV per cell: 3.52
Uncorrected energy in eV/cell: -22.23

Record 4
A relaxed Li2GdDy crystal, computed with PBE.

Cell: 5.2556 5.2556 5.2556 Å, 60.00 60.00 60.00°
Sites, in units of the cell vectors:
Gd: 0.5000 0.5000 0.5000
Li: 0.2500 0.2500 0.2500
Li: 0.7500 0.7500 0.7500
Dy: 0.0000 0.0000 0.0000

Results
SG: Fm-3m (225)
DOS(E_F) in states/eV per cell: 4.60
Uncorrected energy in eV/cell: -21.92

Record 5
A relaxed K2CdP crystal, computed with PBE.

Cell: 6.5689 6.5689 5.9536 Å, 90.00 90.00 102.20°
Sites, in units of the cell vectors:
K: 0.3142 0.9783 0.2500
K: 0.0217 0.6858 0.7500
K: 0.9652 0.3090 0.2500
K: 0.6910 0.0348 0.7500
Cd: 0.4702 0.5298 0.0000
Cd: 0.4702 0.5298 0.5000
P: 0.7721 0.7455 0.2500
P: 0.2545 0.2279 0.7500

Results
SG: Ama2 (40)
DOS(E_F) in states/eV per cell: 5.18
Uncorrected energy in eV/cell: -18.40

Record 6
A relaxed HfCo3Si crystal, computed with PBE.

Cell: 4.5029 4.5029 4.5029 Å, 90.00 90.00 90.00°
Sites, in units of the cell vectors:
Co: 0.0000 0.5000 0.0000
Co: 0.0000 0.0000 0.5000
Co: 0.5000 0.0000 0.0000
Si: 0.5000 0.5000 0.5000
Hf: 0.0000 0.0000 0.0000

Results
ΔE_f (raw) in eV per atom: 1.53
SG: Pm-3m (221)
DOS(E_F) in states/eV per cell: 4.83

Record 7
A relaxed Ho2TmAl crystal, computed with PBE.

Cell: 3.4803 3.4803 8.9728 Å, 90.00 90.00 90.00°
Sites, in units of the cell vectors:
Tm: 0.5000 0.5000 0.5000
Ho: 0.0000 0.0000 0.7840
Ho: 0.0000 0.0000 0.2160
Al: 0.5000 0.5000 0.0000

Results
SG: P4/mmm (123)
DOS(E_F) in states/eV per cell: 4.31
Uncorrected energy in eV/cell: -18.11

Record 8
A relaxed Tl2SnSe2 crystal, computed with PBE.

Cell: 7.9976 7.9202 10.9801 Å, 90.00 112.17 90.00°
Sites, in units of the cell vectors:
Tl: 0.4780 0.2247 0.0510
Tl: 0.9780 0.2753 0.0510
Tl: 0.0220 0.7247 0.9490
Tl: 0.5220 0.7753 0.9490
Tl: 0.8334 0.5863 0.2984
Tl: 0.3334 0.9137 0.2984
Tl: 0.6666 0.0863 0.7016
Tl: 0.1666 0.4137 0.7016
Sn: 0.3625 0.3817 0.3401
Sn: 0.6375 0.6183 0.6599
Sn: 0.8625 0.1183 0.3401
Sn: 0.1375 0.8817 0.6599
Se: 0.8967 0.9142 0.1411
Se: 0.3967 0.5858 0.1411
Se: 0.6033 0.4142 0.8589
Se: 0.1033 0.0858 0.8589
Se: 0.7138 0.3683 0.5170
Se: 0.2138 0.1317 0.5170
Se: 0.7862 0.8683 0.4830
Se: 0.2862 0.6317 0.4830

Results
ΔE_f (raw) in eV per atom: -0.39
SG: P2_1/c (14)
DOS(E_F) in states/eV per cell: 0.05

Record 9
A relaxed SrGa12Co4 crystal, computed with PBE.

Cell: 7.8688 7.8688 7.8688 Å, 109.47 109.47 109.47°
Sites, in units of the cell vectors:
Sr: 0.0000 0.0000 0.0000
Ga: 0.7357 0.2650 0.0008
Ga: 0.2650 0.5293 0.2643
Ga: 0.9992 0.2643 0.7350
Ga: 0.2650 0.0008 0.7357
Ga: 0.0008 0.7357 0.2650
Ga: 0.7350 0.4707 0.7357
Ga: 0.5293 0.2643 0.2650
Ga: 0.4707 0.7357 0.7350
Ga: 0.7350 0.9992 0.2643
Ga: 0.7357 0.7350 0.4707
Ga: 0.2643 0.2650 0.5293
Ga: 0.2643 0.7350 0.9992
Co: 0.0000 0.5000 0.0000
Co: 0.5000 0.0000 0.0000
Co: 0.5000 0.5000 0.5000
Co: 0.0000 0.0000 0.5000

Results
SG: Im-3m (229)
DOS(E_F) in states/eV per cell: 9.83
Uncorrected energy in eV/cell: -69.80

Record 10
A relaxed Ni2BiPb2 crystal, computed with PBE.

Cell: 7.3775 7.3775 3.9451 Å, 90.00 90.00 90.00°
Sites, in units of the cell vectors:
Pb: 0.1634 0.6634 0.5000
Pb: 0.6634 0.8366 0.5000
Pb: 0.8366 0.3366 0.5000
Pb: 0.3366 0.1634 0.5000
Ni: 0.3769 0.8769 0.0000
Ni: 0.8769 0.6231 0.0000
Ni: 0.6231 0.1231 0.0000
Ni: 0.1231 0.3769 0.0000
Bi: 0.0000 0.0000 0.0000
Bi: 0.5000 0.5000 0.0000

Results
SG: P4/mbm (127)
DOS(E_F) in states/eV per cell: 8.44
Uncorrected energy in eV/cell: -43.66

Record 11
A relaxed CuRe2Si crystal, computed with PBE.

Cell: 4.5661 4.5661 4.5661 Å, 129.95 129.95 73.49°
Sites, in units of the cell vectors:
Cu: 0.7500 0.2500 0.5000
Re: 0.0000 0.0000 0.0000
Re: 0.2500 0.7500 0.5000
Si: 0.5000 0.5000 0.0000

Results
ΔE_f (raw) in eV per atom: 0.14
SG: I-4m2 (119)
DOS(E_F) in states/eV per cell: 2.92

Record 12
A relaxed TbYPt2 crystal, computed with PBE.

Cell: 3.8038 4.4662 5.6329 Å, 90.00 109.77 90.00°
Sites, in units of the cell vectors:
Tb: 0.4444 0.5000 0.4280
Y: 0.7214 0.0000 0.9816
Pt: 0.1699 0.5000 0.8789
Pt: 0.9953 0.0000 0.5295

Results
SG: Amm2 (38)
DOS(E_F) in states/eV per cell: 2.89
Uncorrected energy in eV/cell: -28.23

Record 13
A relaxed NaLiTlCu crystal, computed with PBE.

Cell: 4.7705 4.7705 4.7705 Å, 60.00 60.00 60.00°
Sites, in units of the cell vectors:
Na: 0.5000 0.5000 0.5000
Tl: 0.0000 0.0000 0.0000
Cu: 0.2500 0.2500 0.2500
Li: 0.7500 0.7500 0.7500

Results
SG: F-43m (216)
DOS(E_F) in states/eV per cell: 1.46
Uncorrected energy in eV/cell: -9.63

Record 14
A relaxed CdPb2Au crystal, computed with PBE.

Cell: 5.2400 5.2400 6.1042 Å, 76.25 76.25 40.77°
Sites, in units of the cell vectors:
Pb: 0.9845 0.9845 0.0139
Pb: 0.5155 0.5155 0.4861
Au: 0.2500 0.2500 0.2500
Cd: 0.7500 0.7500 0.7500

Results
SG: C2/m (12)
DOS(E_F) in states/eV per cell: 1.60
Uncorrected energy in eV/cell: -11.46

Record 15
A relaxed PuZn4 crystal, computed with PBE.

Cell: 5.7808 5.7808 5.7808 Å, 90.00 90.00 90.00°
Sites, in units of the cell vectors:
Zn: 0.0000 0.0000 0.0000
Zn: 0.5000 0.0000 0.5000
Zn: 0.0000 0.5000 0.5000
Zn: 0.5000 0.5000 0.0000
Pu: 0.5000 0.5000 0.5000

Results
SG: Pm-3m (221)
DOS(E_F) in states/eV per cell: 16.19
Uncorrected energy in eV/cell: -14.17

Record 16
A relaxed CePuTlAu crystal, computed with PBE.

Cell: 3.3910 3.3910 8.9918 Å, 90.00 90.00 90.00°
Sites, in units of the cell vectors:
Ce: 0.0000 0.0000 0.8793
Pu: 0.0000 0.0000 0.3361
Tl: 0.5000 0.5000 0.6061
Au: 0.5000 0.5000 0.1064

Results
SG: P4mm (99)
DOS(E_F) in states/eV per cell: 13.00
Uncorrected energy in eV/cell: -27.16